[1]
{
  "formula": "HfHS3",
  "functional": "PBE",
  "state": "relaxed",
  "dos_ef_per_ev_fu": 3.96,
  "e_tot_ev_per_fu": -24.308,
  "cell": [[4.1064, 0.0000, 0.0000], [0.0000, 4.1064, 0.0000], [0.0000, 0.0000, 4.1064]],
  "species": ["Hf", "H", "S", "S", "S"],
  "fractional_positions": [[0.0000, 0.0000, 0.0000], [0.5000, 0.5000, 0.5000], [0.0000, 0.5000, 0.5000], [0.5000, 0.0000, 0.5000], [0.5000, 0.5000, 0.0000]]
}

[2]
{
  "formula": "Sr2Hg3Pd",
  "functional": "PBE",
  "state": "relaxed",
  "polymorph_energy_mev_per_atom": 0.0,
  "dos_ef_per_ev_fu": 2.81,
  "delta_e_f_mev_per_atom": -528,
  "cell": [[5.7078, -2.4700, 0.0000], [5.7078, 2.4700, 0.0000], [-5.1834, 0.0000, 5.8798]],
  "species": ["Sr", "Sr", "Hg", "Hg", "Hg", "Pd"],
  "fractional_positions": [[0.0000, 0.0000, 0.0000], [0.0895, 0.0895, 0.5874], [0.3692, 0.3692, 0.1649], [0.4005, 0.4005, 0.6164], [0.7116, 0.7116, 0.3881], [0.7136, 0.7136, 0.0132]]
}

[3]
{
  "formula": "Ba2WAu",
  "functional": "PBE",
  "state": "relaxed",
  "polymorph_energy_mev_per_atom": 465.9,
  "dos_ef_per_ev_fu": 3.10,
  "delta_e_f_mev_per_atom": 906,
  "cell": [[1.9377, 1.1187, 9.8535], [-1.9377, 1.1187, 9.8535], [0.0000, -2.2375, 9.8535]],
  "species": ["Ba", "Ba", "W", "Au"],
  "fractional_positions": [[0.2501, 0.2501, 0.2501], [0.7499, 0.7499, 0.7499], [0.0000, 0.0000, 0.0000], [0.5000, 0.5000, 0.5000]]
}